Record 1
DFT (PBE) results for CoNiIr2 after structural relaxation.

Cell: 4.5679 4.5679 4.4477 Å, 100.11 100.11 34.13°
Fractional coordinates of all 4 atoms:
Co  0.0000  0.0000  0.0000
Ni  0.2505  0.2505  0.7624
Ir  0.4989  0.4989  0.5056
Ir  0.7483  0.7483  0.2543

Energy above the lowest structure with this stoichiometry ... 26 meV per atom
Electronic total energy ... -30.485 eV for the cell shown
Density ... 16.3 Mg/m³
Space group ... No. 8



Record 2
DFT (PBE) results for Pr4Dy2Ho2Tm after structural relaxation.

Cell: 8.0833 8.0833 8.0585 Å, 107.56 107.56 36.83°
Fractional coordinates of all 9 atoms:
Pr  0.0536  0.0536  0.3303
Pr  0.2773  0.2773  0.6691
Pr  0.7227  0.7227  0.3309
Pr  0.9464  0.9464  0.6697
Dy  0.3885  0.3885  0.3290
Dy  0.6115  0.6115  0.6710
Ho  0.1670  0.1670  0.9996
Ho  0.8330  0.8330  0.0004
Tm  0.5000  0.5000  0.0000

Electronic total energy ... -41.729 eV for the cell shown
Density ... 7.7 Mg/m³
Space group ... No. 12